First-principles (PBE) data for a geometry-optimized K2TcPt structure, as listed in Alexandria via LeMat-Bulk.

Values from the calculation:
E: -3.644 eV/atom
volume: 24.756 Å³/atom
polymorph energy (0 for the lowest one): 580 meV per atom
M_tot: 4.18 μB/f.u.

Cell: 5.1916 5.1916 5.1916 Å, 119.95 119.95 90.09°
Positions (direct):
K (0.0000, 0.0000, 0.0000)
K (0.7500, 0.2500, 0.5000)
Tc (0.2500, 0.7500, 0.5000)
Pt (0.5000, 0.5000, 0.0000)

***

First-principles (PBE) data for a geometry-optimized Be8Nb3Cr structure, as listed in Alexandria via LeMat-Bulk.

Values from the calculation:
E: -5.998 eV/atom
volume: 10.968 Å³/atom
polymorph energy (0 for the lowest one): 2 meV per atom
M_tot: 0.00 μB/f.u.

Cell: 7.8643 7.8643 7.8643 Å, 33.45 33.45 33.45°
Positions (direct):
Be (0.0000, 0.0000, 0.0000)
Be (0.2495, 0.2495, 0.7459)
Be (0.2495, 0.7459, 0.2495)
Be (0.2502, 0.7524, 0.7524)
Be (0.4995, 0.4995, 0.4995)
Be (0.7459, 0.2495, 0.2495)
Be (0.7524, 0.2502, 0.7524)
Be (0.7524, 0.7524, 0.2502)
Nb (0.1914, 0.1914, 0.1914)
Nb (0.6845, 0.6845, 0.6845)
Nb (0.8122, 0.8122, 0.8122)
Cr (0.3128, 0.3128, 0.3128)

***

First-principles (PBE) data for a geometry-optimized YInPd3 structure, as listed in Alexandria via LeMat-Bulk.

Values from the calculation:
E: -4.548 eV/atom
volume: 26.114 Å³/atom
polymorph energy (0 for the lowest one): 993 meV per atom
M_tot: 0.00 μB/f.u.

Cell: 5.0732 5.0732 5.0732 Å, 90.00 90.00 90.00°
Positions (direct):
Y (0.0000, 0.0000, 0.0000)
In (0.5000, 0.5000, 0.5000)
Pd (0.0000, 0.0000, 0.5000)
Pd (0.0000, 0.5000, 0.0000)
Pd (0.5000, 0.0000, 0.0000)